No. 1
Material: Ba2Sn4PdRh3
Method: DFT, PBE-GGA
State: optimized geometry

Calculated values
calculated density = 8.0 g cm⁻³
formation energy from the elements = -6.1 eV per formula unit

a = 4.7686 Å, b = 4.7686 Å, c = 10.6314 Å
α = 90.00°, β = 90.00°, γ = 90.00°
Closest atoms and distances in Å follow each position.
Atoms (fractional coordinates):
Ba 0.5000 0.0000 0.2562  6 Rh 3.52-3.65, 2 Pd 3.52, 9 Sn 3.61-3.88
Ba 0.0000 0.5000 0.7438  2 Pd 3.52, 6 Rh 3.52-3.65, 9 Sn 3.61-3.88
Sn 0.5000 0.5000 0.0000  4 Rh 2.72
Sn 0.0000 0.0000 0.0000  4 Rh 2.72
Sn 0.5000 0.0000 0.6215  3 Rh 2.71, 2 Pd 2.71
Sn 0.0000 0.5000 0.3785  3 Rh 2.71, 2 Pd 2.71
Pd 0.5000 0.5000 0.5000  4 Sn 2.71
Rh 0.0000 0.0000 0.5000  4 Sn 2.71
Rh 0.5000 0.0000 0.8760  5 Sn 2.71-2.72
Rh 0.0000 0.5000 0.1240  5 Sn 2.71-2.72


No. 2
Material: Na2NpTl2Se4
Method: DFT, PBE-GGA
State: optimized geometry

Calculated values
calculated density = 6.3 g cm⁻³
formation energy from raw total energies = -0.807 eV/atom

a = 4.3606 Å, b = 7.8734 Å, c = 8.9578 Å
α = 115.85°, β = 104.09°, γ = 90.00°
Closest atoms and distances in Å follow each position.
Atoms (fractional coordinates):
Na 0.6664 0.9175 0.3327  4 Se 2.83-2.97
Na 0.3336 0.0825 0.6673  4 Se 2.83-2.97
Np 0.0000 0.0000 0.0000  6 Se 2.86-2.88
Tl 0.1569 0.5353 0.3138  5 Se 3.10-3.44
Tl 0.8431 0.4647 0.6862  5 Se 3.10-3.44
Se 0.1854 0.1737 0.3709  1 Np 2.88, 3 Na 2.89-2.97, 1 Tl 3.10
Se 0.8146 0.8263 0.6291  1 Np 2.88, 3 Na 2.89-2.97, 1 Tl 3.10
Se 0.4844 0.7507 0.9687  1 Na 2.83, 2 Np 2.86
Se 0.5156 0.2493 0.0313  1 Na 2.83, 2 Np 2.86


No. 3
Material: CrFeI2
Method: DFT, PBE-GGA
State: optimized geometry

Calculated values
calculated density = 6.5 g cm⁻³
formation energy from raw total energies = 0.737 eV/atom
E above lowest polymorph = 0.323 eV per atom

a = 5.0874 Å, b = 5.0874 Å, c = 5.0874 Å
α = 60.00°, β = 60.00°, γ = 60.00°
Closest atoms and distances in Å follow each position.
Atoms (fractional coordinates):
I 0.2500 0.2500 0.2500  4 Fe 3.12, 4 Cr 3.12
I 0.7500 0.7500 0.7500  4 Cr 3.12, 4 Fe 3.12
Cr 0.0000 0.0000 0.0000  8 I 3.12
Fe 0.5000 0.5000 0.5000  8 I 3.12


No. 4
Material: InCOF2
Method: DFT, PBE-GGA
State: optimized geometry

Calculated values
calculated density = 4.0 g cm⁻³
formation energy from raw total energies = 0.039 eV/atom

a = 4.2298 Å, b = 4.2298 Å, c = 4.2201 Å
α = 90.00°, β = 90.00°, γ = 90.00°
Closest atoms and distances in Å follow each position.
Atoms (fractional coordinates):
C 0.5000 0.5000 0.5000  8 F 2.99, 4 O 2.99
F 0.0000 0.5000 0.0000  2 In 2.11
F 0.5000 0.0000 0.0000  2 In 2.11
O 0.0000 0.0000 0.5000  2 In 2.11
In 0.0000 0.0000 0.0000  2 O 2.11, 4 F 2.11


No. 5
Material: SrZnRe2
Method: DFT, PBE-GGA
State: optimized geometry

Calculated values
calculated density = 11.7 g cm⁻³
formation energy from the elements = 3.4 eV per formula unit

a = 5.2120 Å, b = 2.8035 Å, c = 5.1347 Å
α = 85.29°, β = 90.00°, γ = 90.00°
Closest atoms and distances in Å follow each position.
Atoms (fractional coordinates):
Re 0.0000 0.8956 0.0090  4 Re 2.54-2.85
Re 0.0000 0.6044 0.4910  4 Re 2.54-2.85
Sr 0.5000 0.2500 0.2500  2 Sr 2.80, 4 Zn 2.82-3.02, 4 Re 3.08
Zn 0.5000 0.7500 0.7500  2 Zn 2.80, 4 Sr 2.82-3.02, 4 Re 2.97


No. 6
Material: Ac3GeAs2Pt6
Method: DFT, PBE-GGA
State: optimized geometry

Calculated values
calculated density = 12.1 g cm⁻³
formation energy from the elements = -11.6 eV per formula unit

a = 5.8089 Å, b = 5.8089 Å, c = 9.7207 Å
α = 90.00°, β = 90.00°, γ = 120.00°
Closest atoms and distances in Å follow each position.
Atoms (fractional coordinates):
Ac 0.3333 0.6667 0.6004  9 Pt 3.10-3.46
Ac 0.6667 0.3333 0.3996  9 Pt 3.10-3.46
Ac 0.0000 0.0000 0.0000  6 Pt 3.27, 6 As 3.49
Ge 0.0000 0.0000 0.5000  6 Pt 2.64
As 0.6667 0.3333 0.9020  3 Pt 2.51
As 0.3333 0.6667 0.0980  3 Pt 2.51
Pt 0.6683 0.8342 0.2894  1 As 2.51, 1 Ge 2.64
Pt 0.1658 0.3317 0.2894  1 As 2.51, 1 Ge 2.64
Pt 0.1658 0.8342 0.2894  1 As 2.51, 1 Ge 2.64
Pt 0.8342 0.6683 0.7106  1 As 2.51, 1 Ge 2.64
Pt 0.3317 0.1658 0.7106  1 As 2.51, 1 Ge 2.64
Pt 0.8342 0.1658 0.7106  1 As 2.51, 1 Ge 2.64


No. 7
Material: Ho2Zn2Ga3
Method: DFT, PBE-GGA
State: optimized geometry

Calculated values
calculated density = 8.2 g cm⁻³
formation energy from the elements = -3.3 eV per formula unit
E above lowest polymorph = 0.066 eV per atom

a = 4.2816 Å, b = 5.6401 Å, c = 6.5726 Å
α = 111.19°, β = 90.00°, γ = 112.31°
Closest atoms and distances in Å follow each position.
Atoms (fractional coordinates):
Ho 0.8491 0.6982 0.2275  7 Ga 3.00-3.35, 4 Zn 3.02-3.14
Ho 0.1509 0.3018 0.7725  7 Ga 3.00-3.35, 4 Zn 3.02-3.14
Zn 0.8497 0.6994 0.7501  5 Ga 2.61-2.78
Zn 0.1503 0.3006 0.2499  5 Ga 2.61-2.78
Ga 0.5000 0.0000 0.0000  2 Ga 2.60, 4 Zn 2.78
Ga 0.5968 0.1936 0.4295  2 Ga 2.53-2.60, 3 Zn 2.61-2.66
Ga 0.4032 0.8064 0.5705  2 Ga 2.53-2.60, 3 Zn 2.61-2.66


No. 8
Material: Ba2LaBr
Method: DFT, PBE-GGA
State: optimized geometry

Calculated values
calculated density = 4.6 g cm⁻³
formation energy from raw total energies = -0.589 eV/atom
E above lowest polymorph = 0.058 eV per atom

a = 11.8949 Å, b = 11.8949 Å, c = 11.8949 Å
α = 20.34°, β = 20.34°, γ = 20.34°
Closest atoms and distances in Å follow each position.
Atoms (fractional coordinates):
Ba 0.0068 0.0068 0.0068  3 La 4.05, 9 Ba 4.20-4.48
Ba 0.2322 0.2322 0.2322  3 Br 3.47
Br 0.4945 0.4945 0.4945  3 La 3.24, 3 Ba 3.47
La 0.7664 0.7664 0.7664  3 Br 3.24


Copy entry 8 word for word.
Material: Ba2LaBr
Method: DFT, PBE-GGA
State: optimized geometry

Calculated values
calculated density = 4.6 g cm⁻³
formation energy from raw total energies = -0.589 eV/atom
E above lowest polymorph = 0.058 eV per atom

a = 11.8949 Å, b = 11.8949 Å, c = 11.8949 Å
α = 20.34°, β = 20.34°, γ = 20.34°
Closest atoms and distances in Å follow each position.
Atoms (fractional coordinates):
Ba 0.0068 0.0068 0.0068  3 La 4.05, 9 Ba 4.20-4.48
Ba 0.2322 0.2322 0.2322  3 Br 3.47
Br 0.4945 0.4945 0.4945  3 La 3.24, 3 Ba 3.47
La 0.7664 0.7664 0.7664  3 Br 3.24


Q: Which value of calculated density does entry 7 give?
A: 8.2 g cm⁻³


Q: Look up the calculated density of the second one.
A: 6.3 g cm⁻³